## NaNiPbF6 (PBE with a Hubbard U)

Data for NaNiPbF6 after structural relaxation.

a b c (Å): 5.099 5.099 10.214
angles (deg): 90.00 90.00 90.00
Fractional positions:
Na (0.500, 0.500, 0.500)
Na (0.000, 0.000, 0.000)
Ni (0.500, 0.500, 0.834)
Ni (0.000, 0.000, 0.334)
Pb (0.500, 0.500, 0.168)
Pb (0.000, 0.000, 0.668)
F (0.185, 0.815, 0.485)
F (0.815, 0.185, 0.485)
F (0.315, 0.315, 0.985)
F (0.685, 0.685, 0.985)
F (0.186, 0.814, 0.184)
F (0.814, 0.186, 0.184)
F (0.314, 0.314, 0.684)
F (0.686, 0.686, 0.684)
F (0.781, 0.219, 0.830)
F (0.219, 0.781, 0.830)
F (0.719, 0.719, 0.330)
F (0.281, 0.281, 0.330)

**DFT total energy**: -0.1595 hartree per atom
**SG**: No. 102
**Density of states at the Fermi level**: 0.3252 states/eV per atom
**Density**: 5.04 Mg/m³